(1)
! NiTeIr2 | Alexandria via LeMat-Bulk | GGA-PBEsol | relaxed; values from VASP
! Space-group type: No. 47
! Uncorrected formation energy (eV per formula unit): 1.37
&SYSTEM
  ibrav = 0, nat = 4, ntyp = 3
/
ATOMIC_SPECIES
Ni 58.69 Ni.upf
Te 127.60 Te.upf
Ir 192.22 Ir.upf
CELL_PARAMETERS angstrom
3.034 0.000 0.000
0.000 3.498 0.000
0.000 0.000 5.642
ATOMIC_POSITIONS angstrom
Ni 0.000 0.000 0.000
Te 0.000 0.000 2.821
Ir 1.517 1.749 1.287
Ir 1.517 1.749 4.356

***

(2)
! Ti2NiIr | Alexandria via LeMat-Bulk | GGA-PBEsol | relaxed; values from VASP
! E_tot (eV/atom): -8.79
! Space-group type: No. 225
&SYSTEM
  ibrav = 0, nat = 16, ntyp = 3
/
ATOMIC_SPECIES
Ti 47.87 Ti.upf
Ni 58.69 Ni.upf
Ir 192.22 Ir.upf
CELL_PARAMETERS angstrom
6.061 0.000 0.000
0.000 6.061 0.000
0.000 0.000 6.061
ATOMIC_POSITIONS angstrom
Ti 1.515 1.515 1.515
Ti 1.515 1.515 4.546
Ti 1.515 4.546 1.515
Ti 1.515 4.546 4.546
Ti 4.546 1.515 1.515
Ti 4.546 1.515 4.546
Ti 4.546 4.546 1.515
Ti 4.546 4.546 4.546
Ni 0.000 0.000 0.000
Ni 0.000 3.031 3.031
Ni 3.031 0.000 3.031
Ni 3.031 3.031 0.000
Ir 0.000 0.000 3.031
Ir 0.000 3.031 0.000
Ir 3.031 0.000 0.000
Ir 3.031 3.031 3.031

***

(3)
! Tl2NiIr | Alexandria via LeMat-Bulk | GGA-PBEsol | relaxed; values from VASP
! E_tot (eV/atom): -4.86
! Space-group type: No. 139
&SYSTEM
  ibrav = 0, nat = 8, ntyp = 3
/
ATOMIC_SPECIES
Tl 204.38 Tl.upf
Ni 58.69 Ni.upf
Ir 192.22 Ir.upf
CELL_PARAMETERS angstrom
4.391 0.000 0.000
0.000 4.391 0.000
0.000 0.000 7.085
ATOMIC_POSITIONS angstrom
Tl 0.000 2.196 1.771
Tl 0.000 2.196 5.314
Tl 2.196 0.000 1.771
Tl 2.196 0.000 5.314
Ni 0.000 0.000 0.000
Ni 2.196 2.196 3.542
Ir 0.000 0.000 3.542
Ir 2.196 2.196 0.000